The following is a GGA-PBE calculation of an optimized crystal structure of HfB3Cl, from Alexandria.

Cell and atoms, written as POSCAR:
```
HfB3Cl
1.0
3.915 0.000 0.000
0.000 3.915 0.000
0.000 0.000 3.915
Cl B Hf
1 3 1
direct
0.000 0.000 0.000
0.000 0.500 0.000
0.500 0.000 0.000
0.000 0.000 0.500
0.500 0.500 0.500
```

## Properties
Uncorrected formation energy ... 1.733 eV/atom
D(E_F) ... 2.69 states/eV/cell
Excess energy over the best structure of this formula in the dataset ... 0.000 eV per atom

The following is a GGA-PBE calculation of an optimized crystal structure of HfMnBCl2, from Alexandria.

Cell and atoms, written as POSCAR:
```
HfMnBCl2
1.0
4.418 0.000 0.000
0.000 4.295 0.000
0.000 0.000 4.418
Mn Cl Hf B
1 2 1 1
direct
0.000 0.500 0.000
0.500 0.000 0.000
0.000 0.000 0.500
0.500 0.500 0.500
0.000 0.000 0.000
```

## Properties
Uncorrected formation energy ... 0.876 eV/atom
D(E_F) ... 5.04 states/eV/cell

The following is a GGA-PBE calculation of an optimized crystal structure of HfMn2BCl, from Alexandria.

Cell and atoms, written as POSCAR:
```
HfMn2BCl
1.0
4.092 0.000 0.000
0.000 4.676 0.000
0.000 0.000 4.092
B Mn Hf Cl
1 2 1 1
direct
0.000 0.500 0.000
0.500 0.000 0.000
0.000 0.000 0.500
0.500 0.500 0.500
0.000 0.000 0.000
```

## Properties
Uncorrected formation energy ... 1.015 eV/atom
D(E_F) ... 4.29 states/eV/cell

The following is a GGA-PBE calculation of an optimized crystal structure of HfNiBCl2, from Alexandria.

Cell and atoms, written as POSCAR:
```
HfNiBCl2
1.0
4.742 0.000 0.000
0.000 3.766 0.000
0.000 0.000 4.742
Hf Cl Ni B
1 2 1 1
direct
0.500 0.500 0.500
0.000 0.000 0.500
0.500 0.000 0.000
0.000 0.000 0.000
0.000 0.500 0.000
```

## Properties
Uncorrected formation energy ... 0.635 eV/atom
D(E_F) ... 4.60 states/eV/cell

The following is a GGA-PBE calculation of an optimized crystal structure of Hf2BOsCl, from Alexandria.

Cell and atoms, written as POSCAR:
```
Hf2BOsCl
1.0
5.042 0.000 0.000
0.000 4.476 0.000
0.000 0.000 5.042
Hf Cl B Os
2 1 1 1
direct
0.000 0.000 0.500
0.500 0.000 0.000
0.000 0.500 0.000
0.500 0.500 0.500
0.000 0.000 0.000
```

## Properties
Uncorrected formation energy ... 1.407 eV/atom
D(E_F) ... 4.75 states/eV/cell

The following is a GGA-PBE calculation of an optimized crystal structure of HfBS2Cl, from Alexandria.

Cell and atoms, written as POSCAR:
```
HfBS2Cl
1.0
4.952 0.000 0.000
0.000 4.952 0.000
0.000 0.000 4.938
S Hf B Cl
2 1 1 1
direct
0.500 0.000 0.000
0.000 0.500 0.000
0.000 0.000 0.000
0.500 0.500 0.500
0.000 0.000 0.500
```

## Properties
Uncorrected formation energy ... 0.073 eV/atom
D(E_F) ... 0.62 states/eV/cell
Excess energy over the best structure of this formula in the dataset ... 0.000 eV per atom

The following is a GGA-PBE calculation of an optimized crystal structure of HfBS2Cl, from Alexandria.

Cell and atoms, written as POSCAR:
```
HfBS2Cl
1.0
-2.621 3.186 -1.229
-2.837 -2.893 -1.450
-1.801 -0.069 3.661
Cl S Hf B
1 2 1 1
direct
0.000 0.000 0.500
0.000 0.500 0.000
0.500 0.000 0.000
0.500 0.500 0.500
0.000 0.000 0.000
```

## Properties
Uncorrected formation energy ... 0.131 eV/atom
D(E_F) ... 2.17 states/eV/cell
Excess energy over the best structure of this formula in the dataset ... 0.057 eV per atom

The following is a GGA-PBE calculation of an optimized crystal structure of HfZnBCl2, from Alexandria.

Cell and atoms, written as POSCAR:
```
HfZnBCl2
1.0
-1.067 4.765 1.781
-2.336 -1.531 2.695
4.011 -0.331 3.290
Hf Cl B Zn
1 2 1 1
direct
0.500 0.500 0.500
0.500 0.000 0.000
0.000 0.000 0.500
0.000 0.500 0.000
0.000 0.000 0.000
```

## Properties
Uncorrected formation energy ... 0.799 eV/atom
D(E_F) ... 2.72 states/eV/cell

The following is a GGA-PBE calculation of an optimized crystal structure of HgB2Cl8, from Alexandria.

Cell and atoms, written as POSCAR:
```
HgB2Cl8
1.0
5.801 0.324 0.246
0.476 7.631 -0.375
0.476 1.693 7.450
Cl B Hg
8 2 1
direct
0.252 0.967 0.278
0.748 0.722 0.033
0.195 0.352 0.352
0.252 0.278 0.967
0.748 0.033 0.722
0.341 0.797 0.797
0.659 0.203 0.203
0.805 0.648 0.648
0.663 0.796 0.796
0.337 0.204 0.204
0.000 0.000 0.000
```

## Properties
Uncorrected formation energy ... -0.793 eV/atom
D(E_F) ... 0.00 states/eV/cell
Excess energy over the best structure of this formula in the dataset ... 0.009 eV per atom

The following is a GGA-PBE calculation of an optimized crystal structure of HgB2Cl6, from Alexandria.

Cell and atoms, written as POSCAR:
```
HgB2Cl6
1.0
7.404 0.049 2.208
2.654 9.435 3.992
0.758 -0.002 10.556
Cl Hg B
12 2 4
direct
0.145 0.413 0.320
0.355 0.680 0.587
0.716 0.897 0.662
0.645 0.320 0.413
0.614 0.606 0.187
0.284 0.103 0.338
0.855 0.587 0.680
0.216 0.662 0.897
0.386 0.394 0.813
0.114 0.187 0.606
0.784 0.338 0.103
0.886 0.813 0.394
0.250 0.996 0.004
0.750 0.004 0.996
0.181 0.234 0.422
0.319 0.578 0.766
0.819 0.766 0.578
0.681 0.422 0.234
```

## Properties
Uncorrected formation energy ... -0.846 eV/atom
D(E_F) ... 0.00 states/eV/cell

The following is a GGA-PBE calculation of an optimized crystal structure of HgBCl3, from Alexandria.

Cell and atoms, written as POSCAR:
```
HgBCl3
1.0
-4.820 1.935 0.856
0.015 -2.098 4.828
2.116 4.423 1.916
Cl B Hg
3 1 1
direct
0.000 0.500 0.000
0.000 0.000 0.500
0.500 0.000 0.000
0.500 0.500 0.500
0.000 0.000 0.000
```

## Properties
Uncorrected formation energy ... 0.664 eV/atom
D(E_F) ... 0.22 states/eV/cell
Excess energy over the best structure of this formula in the dataset ... 1.409 eV per atom

The following is a GGA-PBE calculation of an optimized crystal structure of HgBCl3, from Alexandria.

Cell and atoms, written as POSCAR:
```
HgBCl3
1.0
-4.360 -1.167 -0.358
0.946 -4.070 1.745
-0.771 1.606 4.163
Cl Hg B
3 1 1
direct
0.000 0.000 0.500
0.500 0.000 0.000
0.000 0.500 0.000
0.500 0.500 0.500
0.000 0.000 0.000
```

## Properties
Uncorrected formation energy ... 0.215 eV/atom
D(E_F) ... 1.15 states/eV/cell
Excess energy over the best structure of this formula in the dataset ... 0.960 eV per atom

> The highest D(E_F) belongs to which entry?

HfMnBCl2